This record from the Alexandria database describes crystalline KFeSn2Mo at its relaxed geometry. The functional is PBE.

Lattice parameters (Å, degrees): 5.0093 4.7543 5.0093 90.00 90.00 90.00
With the nearest neighbours (Å) after each atom.
Fractional positions:
Fe (0.0000, 0.0000, 0.0000)  2 Mo 2.38, 4 Sn 2.50
K (0.5000, 0.5000, 0.5000)  8 Sn 3.45, 4 Mo 3.54
Sn (0.0000, 0.0000, 0.5000)  2 Fe 2.50
Sn (0.5000, 0.0000, 0.0000)  2 Fe 2.50
Mo (0.0000, 0.5000, 0.0000)  2 Fe 2.38

Summary:
Total magnetic moment   1.8 Bohr magnetons per cell
Calculated formation energy   0.67 eV/atom
Crystal system   tetragonal
Space group   P4/mmm

=====

This record from the Alexandria database describes crystalline Ce8Sn2Os3 at its relaxed geometry. The functional is PBE.

Lattice parameters (Å, degrees): 6.8774 7.2329 9.1012 113.41 108.45 90.00
With the nearest neighbours (Å) after each atom.
Fractional positions:
Ce (0.4014, 0.3653, 0.1877)  2 Os 2.68-2.74
Ce (0.4014, 0.8224, 0.1877)  2 Os 2.68-2.74
Ce (0.9137, 0.0889, 0.1778)  3 Os 2.72-2.84
Ce (0.5986, 0.1776, 0.8123)  2 Os 2.68-2.74
Sn (0.6622, 0.7592, 0.5184)  6 Ce 3.14-3.43
Os (0.0000, 0.3063, 0.0000)  4 Ce 2.68-2.84, 1 Os 2.80
Os (0.5000, 0.0000, 0.0000)  6 Ce 2.72-2.74
Ce (0.9704, 0.3366, 0.6732)  2 Os 3.01
Ce (0.0863, 0.9111, 0.8222)  3 Os 2.72-2.84
Sn (0.3378, 0.2408, 0.4816)  6 Ce 3.14-3.43
Ce (0.0296, 0.6634, 0.3268)  2 Os 3.01
Os (0.0000, 0.6937, 0.0000)  4 Ce 2.68-2.84, 1 Os 2.80
Ce (0.5986, 0.6347, 0.8123)  2 Os 2.68-2.74

Summary:
Total magnetic moment   5.5 Bohr magnetons per cell
Calculated formation energy   -0.14 eV/atom
Crystal system   monoclinic
Space group   C2/m

=====

> The highest calculated formation energy belongs to which entry?

KFeSn2Mo

=====

> total magnetic moment of number 2 (Ce8Sn2Os3)?

5.5 Bohr magnetons per cell

=====

> Number 1 is which compound?

KFeSn2Mo

=====

> The highest total magnetic moment belongs to which entry?

Ce8Sn2Os3